No. 1
This record from Alexandria describes TeSeCl after structural relaxation. The functional is PBEsol.

Cell lengths 6.825, 6.825, 6.825 Å; angles 90.00, 90.00, 90.00 degrees
Space group F-43m (No. 216)
Asymmetric unit:
Te: 0.000 0.000 0.000 x4
Se: 0.250 0.250 0.250 x4
Cl: 0.000 0.000 0.500 x4

DFT total energy: -2.849 eV/atom
formation energy (no corrections): 0.279 eV per atom

No. 2
This record from Alexandria describes AlAs3Ru after structural relaxation. The functional is PBEsol.

Cell lengths 4.632, 4.632, 4.632 Å; angles 90.00, 90.00, 90.00 degrees
Space group Pm-3m (No. 221)
Asymmetric unit:
Al: 0.000 0.000 0.000 x1
As: 0.000 0.000 0.500 x3
Ru: 0.500 0.500 0.500 x1

DFT total energy: -4.743 eV/atom
calculated formation energy: 1.17 eV/atom

No. 3
This record from Alexandria describes Cu3Br after structural relaxation. The functional is PBEsol.

Cell lengths 3.165, 3.165, 5.763 Å; angles 90.00, 90.00, 90.00 degrees
Space group P4/mmm (No. 123)
Asymmetric unit:
Cu: 0.000 0.000 0.000 x1
Cu: 0.500 0.500 0.206 x2
Br: 0.000 0.000 0.500 x1

polymorph energy (0 for the lowest one): 0 meV/atom
DFT total energy: -3.473 eV/atom
formation energy (no corrections): 0.245 eV per atom

No. 4
This record from Alexandria describes FeSbTe2 after structural relaxation. The functional is PBEsol.

Cell lengths 5.132, 5.132, 3.517 Å; angles 90.00, 90.00, 90.00 degrees
Space group P4/mmm (No. 123)
Asymmetric unit:
Fe: 0.000 0.000 0.000 x1
Sb: 0.500 0.500 0.000 x1
Te: 0.000 0.500 0.500 x2

DFT total energy: -4.608 eV/atom
formation energy (no corrections): 0.535 eV per atom